No. 1
Here is a relaxed Mg3NiO4 crystal from Alexandria. Energies are from PBEsol.

Geometry as POSCAR:
```
Mg3NiO4
1.0
4.174 0.000 0.000
0.000 4.174 0.000
0.000 0.000 4.174
Mg Ni O
3 1 4
Direct
0.000 0.000 0.500
0.000 0.500 0.000
0.500 0.000 0.000
0.500 0.500 0.500
0.000 0.000 0.000
0.000 0.500 0.500
0.500 0.000 0.500
0.500 0.500 0.000
```

Properties
* energy: -6.242 eV/atom
* uncorrected formation energy: -2203 meV per atom
* magnetic moment: 0.4 Bohr magnetons per cell
* SG: Pm-3m, No. 221

No. 2
Here is a relaxed Mg2Ni3O8 crystal from Alexandria. Energies are from PBEsol.

Geometry as POSCAR:
```
Mg2Ni3O8
1.0
4.941 -2.806 0.000
4.941 2.806 0.000
-1.485 0.000 4.521
Mg Ni O
2 3 8
Direct
0.218 0.218 0.142
0.782 0.782 0.858
0.246 0.754 0.500
0.500 0.500 0.000
0.754 0.246 0.500
0.109 0.109 0.440
0.162 0.613 0.109
0.387 0.838 0.891
0.397 0.397 0.597
0.603 0.603 0.403
0.613 0.162 0.109
0.838 0.387 0.891
0.891 0.891 0.560
```

Properties
* energy: -6.272 eV/atom
* uncorrected formation energy: -1356 meV per atom
* magnetic moment: 0.0 Bohr magnetons per cell
* SG: C2/m, No. 12